[1]
A relaxed Ca4MnW crystal. Source: Alexandria, functional PBE.

abc: 8.9682 8.9682 8.9682
angles: 90.00 90.00 90.00
Space group F-43m (No. 216)
Unique sites:
Ca  0.1252  0.1252  0.1252 [16 per cell]
Mn  0.2500  0.2500  0.7500 [4 per cell]
W  0.0000  0.0000  0.5000 [4 per cell]

Properties
* energy: -3.6938 eV/atom
* ρ: 3.675 g/cm³
* ΔH_f (0 K): 7.97 eV/f.u.
* magnetic moment: 8.91 μB/f.u.

***

[2]
A relaxed Ba2YSnO crystal. Source: Alexandria, functional PBE.

abc: 5.6248 5.6248 4.7168
angles: 90.00 90.00 90.00
Space group P4/mmm (No. 123)
Unique sites:
Ba  0.0000  0.5000  0.0000 [2 per cell]
Y  0.0000  0.0000  0.5000 [1 per cell]
Sn  0.5000  0.5000  0.5000 [1 per cell]
O  0.0000  0.0000  0.0000 [1 per cell]

Properties
* energy: -5.1317 eV/atom
* raw formation energy: -1278 meV per atom
* ρ: 5.544 g/cm³
* magnetic moment: 0.00 μB/f.u.

***

[3]
A relaxed RbCd3N crystal. Source: Alexandria, functional PBE.

abc: 7.5570 7.5570 7.5570
angles: 90.00 90.00 90.00
Space group Pm-3m (No. 221)
Unique sites:
Rb  0.0000  0.0000  0.0000 [1 per cell]
Cd  0.0000  0.0000  0.5000 [3 per cell]
N  0.5000  0.5000  0.5000 [1 per cell]

Properties
* energy: -1.0161 eV/atom
* raw formation energy: 1392 meV per atom
* ρ: 1.680 g/cm³
* magnetic moment: 2.55 μB/f.u.